Entry 1:
! SCAN Ge2IrO2, single point on PBEsol structure; values from VASP
! * uncorrected energy: -24.661 eV per atom
! * calculated density: 10.384 g/cm3
! * volume: 11.82 A^3/atom
! * formation energy (no corrections): -0.3133 eV per atom
&SYSTEM
  ibrav = 0, nat = 5, ntyp = 3
/
ATOMIC_SPECIES
Ge 72.64 Ge.upf
Ir 192.22 Ir.upf
O 16.00 O.upf
CELL_PARAMETERS angstrom
-1.618 1.618 5.640
1.618 -1.618 5.640
1.618 1.618 -5.640
ATOMIC_POSITIONS angstrom
Ge 0.000 0.000 1.655
Ge 0.000 0.000 9.625
Ir 0.000 0.000 5.640
O 1.618 0.000 2.820
O 0.000 1.618 2.820

=====

Entry 2:
! SCAN Ca2AgSn2, single point on PBEsol structure; values from VASP
! * uncorrected energy: -24.420 eV per atom
! * calculated density: 4.620 g/cm3
! * volume: 30.58 A^3/atom
! * calculated formation energy: 0.0871 eV/atom
! * distance to the lowest polymorph of the same formula: 0.635 eV/atom
&SYSTEM
  ibrav = 0, nat = 5, ntyp = 3
/
ATOMIC_SPECIES
Ca 40.08 Ca.upf
Ag 107.87 Ag.upf
Sn 118.71 Sn.upf
CELL_PARAMETERS angstrom
-2.427 2.427 6.490
2.427 -2.427 6.490
2.427 2.427 -6.490
ATOMIC_POSITIONS angstrom
Ca 2.427 0.000 3.245
Ca 0.000 2.427 3.245
Ag 0.000 0.000 0.000
Sn 0.000 0.000 5.182
Sn 0.000 0.000 7.799

=====

Entry 3:
! SCAN SmAu, single point on PBEsol structure; values from VASP
! * uncorrected energy: -57.896 eV per atom
! * calculated density: 11.906 g/cm3
! * volume: 24.22 A^3/atom
! * calculated formation energy: -1.0965 eV/atom
&SYSTEM
  ibrav = 0, nat = 4, ntyp = 2
/
ATOMIC_SPECIES
Sm 150.36 Sm.upf
Au 196.97 Au.upf
CELL_PARAMETERS angstrom
1.899 -5.493 0.000
1.899 5.493 0.000
0.000 0.000 4.643
ATOMIC_POSITIONS angstrom
Sm 1.899 3.975 3.483
Sm 1.899 -3.975 1.161
Au 1.899 0.945 3.483
Au 1.899 -0.945 1.161

=====

Entry 4:
! SCAN BaTaCr2B, single point on PBEsol structure; values from VASP
! * uncorrected energy: -29.279 eV per atom
! * calculated density: 8.342 g/cm3
! * volume: 17.24 A^3/atom
! * calculated formation energy: 0.7871 eV/atom
&SYSTEM
  ibrav = 0, nat = 5, ntyp = 4
/
ATOMIC_SPECIES
Ba 137.33 Ba.upf
Ta 180.95 Ta.upf
Cr 52.00 Cr.upf
B 10.81 B.upf
CELL_PARAMETERS angstrom
4.356 0.000 0.000
0.000 4.356 0.000
0.000 0.000 4.544
ATOMIC_POSITIONS angstrom
Ba 0.000 0.000 0.000
Ta 2.178 2.178 0.000
Cr 0.000 2.178 2.272
Cr 2.178 0.000 2.272
B 2.178 2.178 2.272

=====

Entry 5:
! SCAN ErAlCu, single point on PBEsol structure; values from VASP
! * uncorrected energy: -24.969 eV per atom
! * calculated density: 7.926 g/cm3
! * volume: 18.00 A^3/atom
! * calculated formation energy: -0.5387 eV/atom
&SYSTEM
  ibrav = 0, nat = 9, ntyp = 3
/
ATOMIC_SPECIES
Er 167.26 Er.upf
Al 26.98 Al.upf
Cu 63.55 Cu.upf
CELL_PARAMETERS angstrom
7.023 0.000 0.000
-3.511 6.082 0.000
0.000 0.000 3.794
ATOMIC_POSITIONS angstrom
Er -1.458 2.526 0.000
Er 2.916 0.000 0.000
Er 2.053 3.556 0.000
Al -2.668 4.620 1.897
Al 0.844 1.461 1.897
Al 5.335 0.000 1.897
Cu 0.000 0.000 0.000
Cu 0.000 4.055 1.897
Cu 3.511 2.027 1.897

=====

Entry 6:
! SCAN ReAsSe2, single point on PBEsol structure; values from VASP
! * uncorrected energy: -32.189 eV per atom
! * calculated density: 9.664 g/cm3
! * volume: 18.00 A^3/atom
! * formation energy (no corrections): 0.6727 eV per atom
&SYSTEM
  ibrav = 0, nat = 4, ntyp = 3
/
ATOMIC_SPECIES
Re 186.21 Re.upf
As 74.92 As.upf
Se 78.96 Se.upf
CELL_PARAMETERS angstrom
1.498 -2.435 0.000
1.498 2.435 0.000
0.000 0.000 9.871
ATOMIC_POSITIONS angstrom
Re 0.000 0.000 0.000
As 0.000 0.000 4.936
Se 1.498 0.000 2.080
Se 1.498 0.000 7.792